DFT (PBE) results for Cs5U2S4ICl8 after structural relaxation.

It has space group Immm (No. 71), with a = 7.605 Å, b = 10.641 Å, c = 17.380 Å, α = 90.00°, β = 90.00° and γ = 90.00°. The inequivalent atoms are Cs at (0.000, 0.000, 0.000), Cs at (0.000, 0.262, 0.337), U at (0.000, 0.500, 0.107), S at (0.239, 0.403, 0.000), I at (0.000, 0.500, 0.500), Cl at (0.000, 0.245, 0.137) and Cl at (0.242, 0.500, 0.218).

The energy comes out at -4.633 eV per atom.

=====

DFT (PBE) results for Cs2InMoCl6 after structural relaxation.

It has space group Fm-3m (No. 225), with a = 10.898 Å, b = 10.898 Å, c = 10.898 Å, α = 90.00°, β = 90.00° and γ = 90.00°. The inequivalent atoms are Cs at (0.250, 0.250, 0.250), In at (0.000, 0.000, 0.000), Mo at (0.000, 0.000, 0.500) and Cl at (0.000, 0.000, 0.274).

The energy comes out at -3.981 eV per atom.

=====

DFT (PBE) results for Cs2KIrCl6 after structural relaxation.

It has space group Fm-3m (No. 225), with a = 10.686 Å, b = 10.686 Å, c = 10.686 Å, α = 90.00°, β = 90.00° and γ = 90.00°. The inequivalent atoms are Cs at (0.250, 0.250, 0.250), K at (0.000, 0.000, 0.000), Ir at (0.000, 0.000, 0.500) and Cl at (0.000, 0.000, 0.278).

The energy comes out at -3.682 eV per atom.

=====

DFT (PBE) results for Cs2KMoCl6 after structural relaxation.

It has space group Fm-3m (No. 225), with a = 10.883 Å, b = 10.883 Å, c = 10.883 Å, α = 90.00°, β = 90.00° and γ = 90.00°. The inequivalent atoms are Cs at (0.250, 0.250, 0.250), K at (0.000, 0.000, 0.000), Mo at (0.000, 0.000, 0.500) and Cl at (0.000, 0.000, 0.274).

The energy comes out at -4.049 eV per atom.

=====

DFT (PBE) results for CsKPdCl4 after structural relaxation.

It has space group Pmmm (No. 47), with a = 4.351 Å, b = 7.031 Å, c = 7.619 Å, α = 90.00°, β = 90.00° and γ = 90.00°. The inequivalent atoms are Cs at (0.000, 0.000, 0.000), K at (0.000, 0.500, 0.500), Pd at (0.500, 0.000, 0.500) and Cl at (0.500, 0.237, 0.286).

The energy comes out at -3.460 eV per atom.

=====

DFT (PBE) results for Cs2KPtCl6 after structural relaxation.

It has space group Fm-3m (No. 225), with a = 10.804 Å, b = 10.804 Å, c = 10.804 Å, α = 90.00°, β = 90.00° and γ = 90.00°. The inequivalent atoms are Cs at (0.250, 0.250, 0.250), K at (0.000, 0.000, 0.000), Pt at (0.000, 0.000, 0.500) and Cl at (0.000, 0.000, 0.275).

The energy comes out at -3.327 eV per atom.

=====

DFT (PBE) results for Cs2KTaCl6 after structural relaxation.

It has space group Fm-3m (No. 225), with a = 10.886 Å, b = 10.886 Å, c = 10.886 Å, α = 90.00°, β = 90.00° and γ = 90.00°. The inequivalent atoms are Cs at (0.250, 0.250, 0.250), K at (0.000, 0.000, 0.000), Ta at (0.000, 0.000, 0.500) and Cl at (0.000, 0.000, 0.272).

The energy comes out at -4.191 eV per atom.

=====

DFT (PBE) results for Cs2LiNdCl6 after structural relaxation.

It has space group I4/mmm (No. 139), with a = 7.537 Å, b = 7.537 Å, c = 10.697 Å, α = 90.00°, β = 90.00° and γ = 90.00°. The inequivalent atoms are Cs at (0.000, 0.500, 0.250), Li at (0.000, 0.000, 0.000), Nd at (0.000, 0.000, 0.500), Cl at (0.000, 0.000, 0.245) and Cl at (0.244, 0.244, 0.000).

The energy comes out at -4.057 eV per atom.

=====

DFT (PBE) results for Cs2LiNiCl6 after structural relaxation.

It has space group R-3m (No. 166, hexagonal axes), with a = 7.0850 Å, b = 7.0850 Å, c = 35.1992 Å, α = 90.00°, β = 90.00° and γ = 120.00°. The inequivalent atoms are Cs at (0.0000, 0.0000, 0.1260), Cs at (0.0000, 0.0000, 0.2923), Li at (0.0000, 0.0000, 0.0000), Li at (0.0000, 0.0000, 0.5000), Ni at (0.0000, 0.0000, 0.4144), Cl at (0.0183, 0.5092, 0.2897) and Cl at (0.0275, 0.5138, 0.1201).

The energy comes out at -3.376 eV per atom.

=====

DFT (PBE) results for Cs2LiPtCl6 after structural relaxation.

It has space group Fm-3m (No. 225), with a = 10.172 Å, b = 10.172 Å, c = 10.172 Å, α = 90.00°, β = 90.00° and γ = 90.00°. The inequivalent atoms are Cs at (0.250, 0.250, 0.250), Li at (0.000, 0.000, 0.000), Pt at (0.000, 0.000, 0.500) and Cl at (0.000, 0.000, 0.260).

The energy comes out at -3.363 eV per atom.

=====

DFT (PBE) results for Cs2LiTaCl6 after structural relaxation.

It has space group Fm-3m (No. 225), with a = 10.203 Å, b = 10.203 Å, c = 10.203 Å, α = 90.00°, β = 90.00° and γ = 90.00°. The inequivalent atoms are Cs at (0.250, 0.250, 0.250), Li at (0.000, 0.000, 0.000), Ta at (0.000, 0.000, 0.500) and Cl at (0.000, 0.000, 0.256).

The energy comes out at -4.227 eV per atom.

=====

DFT (PBE) results for Cs2LiTmCl6 after structural relaxation.

It has space group I4/mmm (No. 139), with a = 7.386 Å, b = 7.386 Å, c = 10.473 Å, α = 90.00°, β = 90.00° and γ = 90.00°. The inequivalent atoms are Cs at (0.000, 0.500, 0.250), Li at (0.000, 0.000, 0.000), Tm at (0.000, 0.000, 0.500), Cl at (0.000, 0.000, 0.251) and Cl at (0.249, 0.249, 0.500).

The energy comes out at -4.048 eV per atom.

=====

DFT (PBE) results for Cs2MgPtCl6 after structural relaxation.

It has space group I4/mmm (No. 139), with a = 7.144 Å, b = 7.144 Å, c = 11.403 Å, α = 90.00°, β = 90.00° and γ = 90.00°. The inequivalent atoms are Cs at (0.000, 0.500, 0.250), Mg at (0.000, 0.000, 0.000), Pt at (0.000, 0.000, 0.500), Cl at (0.000, 0.000, 0.202) and Cl at (0.231, 0.231, 0.500).

The energy comes out at -3.463 eV per atom.

=====

DFT (PBE) results for Cs3Mo2Cl9 after structural relaxation.

It has space group P6_3/mmc (No. 194), with a = 7.3899 Å, b = 7.3899 Å, c = 17.8548 Å, α = 90.00°, β = 90.00° and γ = 120.00°. The inequivalent atoms are Cs at (0.0000, 0.0000, 0.2500), Cs at (0.3333, 0.6667, 0.0720), Mo at (0.3333, 0.6667, 0.6721), Cl at (0.0101, 0.5050, 0.7500) and Cl at (0.1785, 0.3571, 0.5950).

The energy comes out at -4.338 eV per atom.

=====

DFT (PBE) results for Cs2MoCl6 after structural relaxation.

It has space group C2/m (No. 12), with a = 12.797 Å, b = 7.399 Å, c = 7.392 Å, α = 90.00°, β = 125.22° and γ = 90.00°. The inequivalent atoms are Cs at (0.249, 0.000, 0.250), Mo at (0.000, 0.500, 0.000), Cl at (0.004, 0.271, 0.774) and Cl at (0.230, 0.500, 0.237).

The energy comes out at -4.077 eV per atom.

=====

DFT (PBE) results for Cs2MoCl6 after structural relaxation.

It has space group I4/m (No. 87), with a = 7.352 Å, b = 7.352 Å, c = 10.527 Å, α = 90.00°, β = 90.00° and γ = 90.00°. The inequivalent atoms are Cs at (0.000, 0.500, 0.250), Mo at (0.000, 0.000, 0.000), Cl at (0.000, 0.000, 0.229) and Cl at (0.219, 0.242, 0.000).

The energy comes out at -4.075 eV per atom.

=====

DFT (PBE) results for Cs3MoCl6 after structural relaxation.

It has space group Fm-3m (No. 225), with a = 11.313 Å, b = 11.313 Å, c = 11.313 Å, α = 90.00°, β = 90.00° and γ = 90.00°. The inequivalent atoms are Cs at (0.000, 0.000, 0.000), Cs at (0.250, 0.250, 0.250), Mo at (0.000, 0.000, 0.500) and Cl at (0.000, 0.000, 0.283).

The energy comes out at -3.998 eV per atom.

=====

DFT (PBE) results for CsRb2MoCl6 after structural relaxation.

It has space group Fm-3m (No. 225), with a = 11.231 Å, b = 11.231 Å, c = 11.231 Å, α = 90.00°, β = 90.00° and γ = 90.00°. The inequivalent atoms are Cs at (0.000, 0.000, 0.000), Rb at (0.250, 0.250, 0.250), Mo at (0.000, 0.000, 0.500) and Cl at (0.000, 0.000, 0.282).

The energy comes out at -3.960 eV per atom.

=====

DFT (PBE) results for CsTcNClO4 after structural relaxation.

It has space group P2_12_12_1 (No. 19), with a = 6.275 Å, b = 8.453 Å, c = 11.325 Å, α = 90.00°, β = 90.00° and γ = 90.00°. The inequivalent atoms are Cs at (0.221, 0.114, 0.175), Tc at (0.210, 0.425, 0.556), N at (0.008, 0.029, 0.920), Cl at (0.215, 0.279, 0.734), O at (0.059, 0.450, 0.128), O at (0.081, 0.416, 0.004), O at (0.114, 0.230, 0.476) and O at (0.183, 0.349, 0.393).

The energy comes out at -5.829 eV per atom.